Entry 1:
Compound: ZrCd2Te
Source: Alexandria via LeMat-Bulk
Functional: PBE
Structure: optimized geometry

- Crystal system: monoclinic
- Total moment: 0.0 μB/f.u.
- Formation energy (no corrections): -63 meV per atom

a b c (Å): 5.7541 10.9430 3.3454
angles (deg): 90.00 114.24 90.00
Space group C2/m (No. 12)
Asymmetric unit:
Zr: 0.0000 0.0000 0.0000
Cd: 0.2500 0.2500 0.5000
Te: 0.0000 0.5000 0.0000

Entry 2:
Compound: Li2PuTlF8
Source: Alexandria via LeMat-Bulk
Functional: PBE
Structure: optimized geometry

- Crystal system: trigonal
- Total moment: 3.7 μB/f.u.
- Formation energy (no corrections): -2744 meV per atom

a b c (Å): 5.6153 5.6153 8.0892
angles (deg): 90.00 90.00 120.00
Space group P-3m1 (No. 164)
Asymmetric unit:
Li: 0.3333 0.6667 0.2059
Pu: 0.0000 0.0000 0.5000
Tl: 0.0000 0.0000 0.0000
F: 0.1681 0.3363 0.3393
F: 0.3333 0.6667 0.9858

Entry 3:
Compound: YH8Ir2Au
Source: Alexandria via LeMat-Bulk
Functional: PBE
Structure: optimized geometry

- Energy: -4.618 eV per atom
- Crystal system: monoclinic
- Total moment: 0.0 μB/f.u.

a b c (Å): 8.8283 4.1872 6.0642
angles (deg): 90.00 109.30 90.00
Space group C2/m (No. 12)
Asymmetric unit:
Y: 0.0000 0.0000 0.0000
H: 0.0856 0.5000 0.1290
H: 0.1868 0.2578 0.8390
H: 0.2155 0.0000 0.3787
Ir: 0.2313 0.0000 0.6704
Au: 0.0000 0.5000 0.5000

Entry 4:
Compound: Ag3C
Source: Alexandria via LeMat-Bulk
Functional: PBE
Structure: optimized geometry

- Crystal system: orthorhombic
- Polymorph energy (0 for the lowest one): 599.1 meV/atom
- Total moment: 0.0 μB/f.u.
- Formation energy from the elements: 1156 meV/atom

a b c (Å): 2.9821 4.5611 9.0480
angles (deg): 90.00 90.00 90.00
Space group Immm (No. 71)
Asymmetric unit:
Ag: 0.0000 0.0000 0.0000
Ag: 0.0000 0.5000 0.1942
C: 0.0000 0.0000 0.5000

Entry 5:
Compound: Ca5NbH2N4
Source: Alexandria via LeMat-Bulk
Functional: PBE
Structure: optimized geometry

- Energy: -5.873 eV per atom
- Crystal system: orthorhombic
- Total moment: 1.0 μB/f.u.

a b c (Å): 7.0101 9.6994 5.8268
angles (deg): 90.00 90.00 90.00
Space group Amm2 (No. 38)
Asymmetric unit:
Ca: 0.0000 0.0000 0.0000
Ca: 0.2715 0.1763 0.4895
Nb: 0.5000 0.0000 0.0004
H: 0.0000 0.2212 0.7895
N: 0.2763 0.0000 0.2054
N: 0.5000 0.1675 0.8018

no.,calculated density (Mg/m³)
1,7.67
2,4.62
3,10.65
4,9.06
5,2.95